No. 1
# ScPb3N SCAN single point on PBEsol structure
data_ScPb3N
_cell_length_a 5.551
_cell_length_b 5.551
_cell_length_c 5.551
_cell_angle_alpha 90.00
_cell_angle_beta 90.00
_cell_angle_gamma 90.00
_symmetry_space_group_name_H-M 'P m -3 m'
_symmetry_Int_Tables_number 221
_symmetry_space_group_name_Hall '-P 4 2 3'
loop_
_atom_site_label
_atom_site_type_symbol
_atom_site_fract_x
_atom_site_fract_y
_atom_site_fract_z
_atom_site_occupancy
Sc1 Sc 0.000 0.000 0.000 1
Pb1 Pb 0.000 0.000 0.500 1
N1 N 0.500 0.500 0.500 1
# Density (g/cm3): 6.61
# Formation energy without anion corrections (eV per atom): 1.13

No. 2
# Sc2PbN SCAN single point on PBEsol structure
data_Sc2PbN
_cell_length_a 6.639
_cell_length_b 6.639
_cell_length_c 6.639
_cell_angle_alpha 90.00
_cell_angle_beta 90.00
_cell_angle_gamma 90.00
_symmetry_space_group_name_H-M 'F m -3 m'
_symmetry_Int_Tables_number 225
_symmetry_space_group_name_Hall '-F 4 2 3'
loop_
_atom_site_label
_atom_site_type_symbol
_atom_site_fract_x
_atom_site_fract_y
_atom_site_fract_z
_atom_site_occupancy
Sc1 Sc 0.250 0.250 0.250 1
Pb1 Pb 0.000 0.000 0.000 1
N1 N 0.000 0.000 0.500 1
# Density (g/cm3): 7.06
# Formation energy without anion corrections (eV per atom): 0.14

No. 3
# ScTePbN2 SCAN single point on PBEsol structure
data_ScTePbN2
_cell_length_a 4.250
_cell_length_b 4.250
_cell_length_c 5.979
_cell_angle_alpha 90.00
_cell_angle_beta 90.00
_cell_angle_gamma 90.00
_symmetry_space_group_name_H-M 'P 4/m m m'
_symmetry_Int_Tables_number 123
_symmetry_space_group_name_Hall '-P 4 2'
loop_
_atom_site_label
_atom_site_type_symbol
_atom_site_fract_x
_atom_site_fract_y
_atom_site_fract_z
_atom_site_occupancy
Sc1 Sc 0.000 0.000 0.000 1
Te1 Te 0.500 0.500 0.000 1
Pb1 Pb 0.500 0.500 0.500 1
N1 N 0.000 0.500 0.500 1
# Density (g/cm3): 6.27
# Formation energy without anion corrections (eV per atom): 1.12

No. 4
# PbSe3N SCAN single point on PBEsol structure
data_PbSe3N
_cell_length_a 5.427
_cell_length_b 5.427
_cell_length_c 5.427
_cell_angle_alpha 90.00
_cell_angle_beta 90.00
_cell_angle_gamma 90.00
_symmetry_space_group_name_H-M 'P m -3 m'
_symmetry_Int_Tables_number 221
_symmetry_space_group_name_Hall '-P 4 2 3'
loop_
_atom_site_label
_atom_site_type_symbol
_atom_site_fract_x
_atom_site_fract_y
_atom_site_fract_z
_atom_site_occupancy
Pb1 Pb 0.000 0.000 0.000 1
Se1 Se 0.000 0.000 0.500 1
N1 N 0.500 0.500 0.500 1
# Density (g/cm3): 4.76
# Formation energy without anion corrections (eV per atom): 1.52

Number 1: total magnetic moment 3.09 μB/f.u., total DFT energy (no corrections) -245.235 eV for the cell shown, density of states at the Fermi level 1.0138 states/eV/atom. Number 2: total magnetic moment 0.00 μB/f.u., total DFT energy (no corrections) -451.980 eV for the cell shown, density of states at the Fermi level 0.8849 states/eV/atom. Number 3: total magnetic moment 1.23 μB/f.u., total DFT energy (no corrections) -140.239 eV for the cell shown, density of states at the Fermi level 0.3256 states/eV/atom. Number 4: total magnetic moment 0.31 μB/f.u., total DFT energy (no corrections) -137.711 eV for the cell shown, density of states at the Fermi level 0.9950 states/eV/atom.